(1)
# RbTaSn2O8 | the Alexandria database | GGA-PBE | relaxed
# Final energy: -6.73 eV/atom
# Size of the total moment: 0.05 Bohr magnetons per cell
# ΔE_f (raw): -1688 meV per atom
data_RbTaSn2O8
_chemical_formula_sum 'Rb1 Ta1 Sn2 O8'
_symmetry_space_group_name_H-M 'P -1'
_symmetry_Int_Tables_number 2
_cell_length_a 4.826
_cell_length_b 4.827
_cell_length_c 8.036
_cell_angle_alpha 92.43
_cell_angle_beta 92.18
_cell_angle_gamma 92.03
loop_
_symmetry_equiv_pos_as_xyz
'x,y,z'
'-x,-y,-z'
loop_
_atom_site_label
_atom_site_type_symbol
_atom_site_fract_x
_atom_site_fract_y
_atom_site_fract_z
Rb1 Rb 0.000 0.000 0.000
Ta1 Ta 0.000 0.000 0.500
Sn1 Sn 0.492 0.492 0.310
O1 O 0.192 0.190 0.322
O2 O 0.209 0.210 0.690
O3 O 0.294 0.706 0.500
O4 O 0.418 0.416 0.056

***

(2)
# RbTbSnO3 | the Alexandria database | GGA-PBE | relaxed
# Final energy: -6.32 eV/atom
# Size of the total moment: 0.00 Bohr magnetons per cell
# ΔE_f (raw): -2242 meV per atom
data_RbTbSnO3
_chemical_formula_sum 'Rb2 Tb2 Sn2 O6'
_symmetry_space_group_name_H-M 'P 1 21/m 1'
_symmetry_Int_Tables_number 11
_cell_length_a 7.485
_cell_length_b 3.515
_cell_length_c 9.454
_cell_angle_alpha 90.00
_cell_angle_beta 96.60
_cell_angle_gamma 90.00
loop_
_symmetry_equiv_pos_as_xyz
'x,y,z'
'-x,-y,-z'
'-x,y+1/2,-z'
'x,-y+1/2,z'
loop_
_atom_site_label
_atom_site_type_symbol
_atom_site_fract_x
_atom_site_fract_y
_atom_site_fract_z
Rb1 Rb 0.087 0.250 0.293
Tb1 Tb 0.419 0.750 0.636
Sn1 Sn 0.299 0.250 0.929
O1 O 0.235 0.250 0.692
O2 O 0.386 0.750 0.396
O3 O 0.459 0.750 0.889

***

(3)
# Rb3Tb2SnO6 | the Alexandria database | GGA-PBE | relaxed
# Final energy: -6.01 eV/atom
# Size of the total moment: 0.88 Bohr magnetons per cell
# ΔE_f (raw): -2186 meV per atom
data_Rb3Tb2SnO6
_chemical_formula_sum 'Rb6 Tb4 Sn2 O12'
_symmetry_space_group_name_H-M 'C 1 2/m 1'
_symmetry_Int_Tables_number 12
_cell_length_a 6.115
_cell_length_b 10.593
_cell_length_c 6.874
_cell_angle_alpha 90.00
_cell_angle_beta 107.20
_cell_angle_gamma 90.00
loop_
_symmetry_equiv_pos_as_xyz
'x,y,z'
'-x,-y,-z'
'-x,y,-z'
'x,-y,z'
'x+1/2,y+1/2,z'
'-x+1/2,-y+1/2,-z'
'-x+1/2,y+1/2,-z'
'x+1/2,-y+1/2,z'
loop_
_atom_site_label
_atom_site_type_symbol
_atom_site_fract_x
_atom_site_fract_y
_atom_site_fract_z
Rb1 Rb 0.000 0.000 0.000
Rb2 Rb 0.000 0.336 0.000
Tb1 Tb 0.000 0.167 0.500
Sn1 Sn 0.000 0.500 0.500
O1 O 0.224 0.000 0.678
O2 O 0.227 0.332 0.678

***

(4)
# Rb2TcSnO6 | the Alexandria database | GGA-PBE | relaxed
# Final energy: -6.03 eV/atom
# Size of the total moment: 4.08 Bohr magnetons per cell
# ΔE_f (raw): -1420 meV per atom
data_Rb2TcSnO6
_chemical_formula_sum 'Rb8 Tc4 Sn4 O24'
_symmetry_space_group_name_H-M 'F m -3 m'
_symmetry_Int_Tables_number 225
_symmetry_space_group_name_Hall '-F 4 2 3'
_cell_length_a 8.155
_cell_length_b 8.155
_cell_length_c 8.155
_cell_angle_alpha 90.00
_cell_angle_beta 90.00
_cell_angle_gamma 90.00
loop_
_atom_site_label
_atom_site_type_symbol
_atom_site_fract_x
_atom_site_fract_y
_atom_site_fract_z
Rb1 Rb 0.250 0.250 0.250
Tc1 Tc 0.000 0.000 0.000
Sn1 Sn 0.000 0.000 0.500
O1 O 0.000 0.000 0.240

***

Question: Which of these has the lowest size of the total moment?
Answer: RbTbSnO3

***

Copy entry 1 word for word.
# RbTaSn2O8 | the Alexandria database | GGA-PBE | relaxed
# Final energy: -6.73 eV/atom
# Size of the total moment: 0.05 Bohr magnetons per cell
# ΔE_f (raw): -1688 meV per atom
data_RbTaSn2O8
_chemical_formula_sum 'Rb1 Ta1 Sn2 O8'
_symmetry_space_group_name_H-M 'P -1'
_symmetry_Int_Tables_number 2
_cell_length_a 4.826
_cell_length_b 4.827
_cell_length_c 8.036
_cell_angle_alpha 92.43
_cell_angle_beta 92.18
_cell_angle_gamma 92.03
loop_
_symmetry_equiv_pos_as_xyz
'x,y,z'
'-x,-y,-z'
loop_
_atom_site_label
_atom_site_type_symbol
_atom_site_fract_x
_atom_site_fract_y
_atom_site_fract_z
Rb1 Rb 0.000 0.000 0.000
Ta1 Ta 0.000 0.000 0.500
Sn1 Sn 0.492 0.492 0.310
O1 O 0.192 0.190 0.322
O2 O 0.209 0.210 0.690
O3 O 0.294 0.706 0.500
O4 O 0.418 0.416 0.056